1.
First-principles (PBE) data for a geometry-optimized NaInRe3 structure, as listed in the Alexandria database.

a b c (Å): 4.918 4.918 4.918
angles (deg): 90.00 90.00 90.00
Element x y z (fractional)
Na 0.000 0.000 0.000
In 0.500 0.500 0.500
Re 0.000 0.500 0.500
Re 0.500 0.000 0.500
Re 0.500 0.500 0.000

Computed properties:
Its energy above the most stable polymorph in this dataset is 44 meV per atom. The calculation puts the formation enthalpy at 0 K at 2.95 eV/atom.

---

2.
First-principles (PBE) data for a geometry-optimized CuSnHg structure, as listed in the Alexandria database.

a b c (Å): 6.409 6.409 6.409
angles (deg): 90.00 90.00 90.00
Element x y z (fractional)
Cu 0.000 0.000 0.000
Cu 0.000 0.500 0.500
Cu 0.500 0.000 0.500
Cu 0.500 0.500 0.000
Sn 0.250 0.250 0.750
Sn 0.250 0.750 0.250
Sn 0.750 0.250 0.250
Sn 0.750 0.750 0.750
Hg 0.250 0.250 0.250
Hg 0.250 0.750 0.750
Hg 0.750 0.250 0.750
Hg 0.750 0.750 0.250

Computed properties:
Its energy above the most stable polymorph in this dataset is 0 meV per atom. The calculation puts the formation enthalpy at 0 K at 0.07 eV/atom.

---

3.
First-principles (PBE) data for a geometry-optimized ZrSIN2 structure, as listed in the Alexandria database.

a b c (Å): 4.169 4.169 5.690
angles (deg): 90.00 90.00 90.00
Element x y z (fractional)
Zr 0.000 0.000 0.000
S 0.000 0.000 0.500
I 0.500 0.500 0.500
N 0.000 0.500 0.000
N 0.500 0.000 0.000

Computed properties:
Its energy above the most stable polymorph in this dataset is 0 meV per atom. The calculation puts the energy relative to the elements, uncorrected at 2.71 eV/f.u.

---

4.
First-principles (PBE) data for a geometry-optimized Rb2BPd structure, as listed in the Alexandria database.

a b c (Å): 12.845 12.845 4.066
angles (deg): 90.00 90.00 90.00
Element x y z (fractional)
Rb 0.045 0.250 0.125
Rb 0.250 0.545 0.375
Rb 0.250 0.955 0.875
Rb 0.455 0.250 0.625
Rb 0.545 0.750 0.625
Rb 0.750 0.045 0.875
Rb 0.750 0.455 0.375
Rb 0.955 0.750 0.125
B 0.000 0.000 0.500
B 0.000 0.500 0.750
B 0.500 0.000 0.250
B 0.500 0.500 0.000
Pd 0.000 0.000 0.000
Pd 0.000 0.500 0.250
Pd 0.500 0.000 0.750
Pd 0.500 0.500 0.500

Computed properties:
The calculation puts the formation enthalpy at 0 K at 0.37 eV/atom.